(1)
# ZnPb2C (PBE, optimized geometry)
# * DOS at the Fermi energy: 0.03 states/eV per atom
# * E_form: 0.969 eV per atom
# * E above lowest polymorph: 0.00 kJ per mole of atoms
# * crystal system: tetragonal
# * total energy: -3.509 eV/atom
# * volume: 203 Å³ per cell
data_ZnPb2C
_cell_length_a 6.847
_cell_length_b 6.847
_cell_length_c 6.847
_cell_angle_alpha 125.98
_cell_angle_beta 125.98
_cell_angle_gamma 79.92
_symmetry_space_group_name_H-M 'P 1'
_symmetry_Int_Tables_number 1
loop_
_symmetry_equiv_pos_as_xyz
'x,y,z'
loop_
_atom_site_label
_atom_site_type_symbol
_atom_site_fract_x
_atom_site_fract_y
_atom_site_fract_z
_atom_site_occupancy
Zn1 Zn 0.000 0.000 0.000 1
Zn2 Zn 0.750 0.250 0.500 1
Pb1 Pb 0.186 0.625 0.061 1
Pb2 Pb 0.375 0.436 0.561 1
Pb3 Pb 0.564 0.125 0.939 1
Pb4 Pb 0.875 0.814 0.439 1
C1 C 0.250 0.750 0.500 1
C2 C 0.500 0.500 0.000 1


(2)
# ZnPbC3 (PBE, optimized geometry)
# * DOS at the Fermi energy: 0.86 states/eV per atom
# * E_form: 3.428 eV per atom
# * E above lowest polymorph: 73.13 kJ per mole of atoms
# * crystal system: cubic
# * total energy: -3.103 eV/atom
# * volume: 91 Å³ per cell
data_ZnPbC3
_cell_length_a 4.500
_cell_length_b 4.500
_cell_length_c 4.500
_cell_angle_alpha 90.00
_cell_angle_beta 90.00
_cell_angle_gamma 90.00
_symmetry_space_group_name_H-M 'P 1'
_symmetry_Int_Tables_number 1
loop_
_symmetry_equiv_pos_as_xyz
'x,y,z'
loop_
_atom_site_label
_atom_site_type_symbol
_atom_site_fract_x
_atom_site_fract_y
_atom_site_fract_z
_atom_site_occupancy
Zn1 Zn 0.000 0.000 0.000 1
Pb1 Pb 0.500 0.500 0.500 1
C1 C 0.000 0.500 0.500 1
C2 C 0.500 0.000 0.500 1
C3 C 0.500 0.500 0.000 1


(3)
# ZnPb2C4 (PBE, optimized geometry)
# * DOS at the Fermi energy: 0.74 states/eV per atom
# * E_form: 2.485 eV per atom
# * crystal system: tetragonal
# * total energy: -4.027 eV/atom
# * volume: 108 Å³ per cell
data_ZnPb2C4
_cell_length_a 7.388
_cell_length_b 7.388
_cell_length_c 7.388
_cell_angle_alpha 148.85
_cell_angle_beta 148.85
_cell_angle_gamma 44.63
_symmetry_space_group_name_H-M 'P 1'
_symmetry_Int_Tables_number 1
loop_
_symmetry_equiv_pos_as_xyz
'x,y,z'
loop_
_atom_site_label
_atom_site_type_symbol
_atom_site_fract_x
_atom_site_fract_y
_atom_site_fract_z
_atom_site_occupancy
Zn1 Zn 0.000 0.000 0.000 1
Pb1 Pb 0.347 0.347 0.000 1
Pb2 Pb 0.653 0.653 0.000 1
C1 C 0.000 0.500 0.500 1
C2 C 0.155 0.155 0.000 1
C3 C 0.500 0.000 0.500 1
C4 C 0.845 0.845 0.000 1


(4)
# Zr4PbC (PBE, optimized geometry)
# * DOS at the Fermi energy: 0.68 states/eV per atom
# * E_form: -0.152 eV per atom
# * E above lowest polymorph: 11.60 kJ per mole of atoms
# * crystal system: monoclinic
# * total energy: -8.006 eV/atom
# * volume: 257 Å³ per cell
data_Zr4PbC
_cell_length_a 7.610
_cell_length_b 5.935
_cell_length_c 5.837
_cell_angle_alpha 90.00
_cell_angle_beta 103.16
_cell_angle_gamma 90.00
_symmetry_space_group_name_H-M 'P 1'
_symmetry_Int_Tables_number 1
loop_
_symmetry_equiv_pos_as_xyz
'x,y,z'
loop_
_atom_site_label
_atom_site_type_symbol
_atom_site_fract_x
_atom_site_fract_y
_atom_site_fract_z
_atom_site_occupancy
Zr1 Zr 0.088 0.144 0.371 1
Zr2 Zr 0.088 0.356 0.871 1
Zr3 Zr 0.279 0.587 0.464 1
Zr4 Zr 0.279 0.913 0.964 1
Zr5 Zr 0.721 0.087 0.036 1
Zr6 Zr 0.721 0.413 0.536 1
Zr7 Zr 0.912 0.644 0.129 1
Zr8 Zr 0.912 0.856 0.629 1
Pb1 Pb 0.500 0.000 0.500 1
Pb2 Pb 0.500 0.500 0.000 1
C1 C 0.000 0.000 0.000 1
C2 C 0.000 0.500 0.500 1


(5)
# Zr3PbC (PBE, optimized geometry)
# * DOS at the Fermi energy: 0.63 states/eV per atom
# * E_form: -0.490 eV per atom
# * crystal system: orthorhombic
# * total energy: -8.205 eV/atom
# * volume: 203 Å³ per cell
data_Zr3PbC
_cell_length_a 7.898
_cell_length_b 7.898
_cell_length_c 3.430
_cell_angle_alpha 90.00
_cell_angle_beta 90.00
_cell_angle_gamma 108.74
_symmetry_space_group_name_H-M 'P 1'
_symmetry_Int_Tables_number 1
loop_
_symmetry_equiv_pos_as_xyz
'x,y,z'
loop_
_atom_site_label
_atom_site_type_symbol
_atom_site_fract_x
_atom_site_fract_y
_atom_site_fract_z
_atom_site_occupancy
Zr1 Zr 0.156 0.429 0.500 1
Zr2 Zr 0.214 0.786 0.000 1
Zr3 Zr 0.429 0.156 0.500 1
Zr4 Zr 0.571 0.844 0.500 1
Zr5 Zr 0.786 0.214 0.000 1
Zr6 Zr 0.844 0.571 0.500 1
Pb1 Pb 0.000 0.000 0.500 1
Pb2 Pb 0.500 0.500 0.000 1
C1 C 0.000 0.500 0.000 1
C2 C 0.500 0.000 0.000 1


(6)
# ZrPb2C (PBE, optimized geometry)
# * DOS at the Fermi energy: 0.85 states/eV per atom
# * E_form: 0.690 eV per atom
# * crystal system: tetragonal
# * total energy: -5.607 eV/atom
# * volume: 201 Å³ per cell
data_ZrPb2C
_cell_length_a 7.056
_cell_length_b 7.056
_cell_length_c 7.056
_cell_angle_alpha 95.81
_cell_angle_beta 95.81
_cell_angle_gamma 142.89
_symmetry_space_group_name_H-M 'P 1'
_symmetry_Int_Tables_number 1
loop_
_symmetry_equiv_pos_as_xyz
'x,y,z'
loop_
_atom_site_label
_atom_site_type_symbol
_atom_site_fract_x
_atom_site_fract_y
_atom_site_fract_z
_atom_site_occupancy
Zr1 Zr 0.000 0.000 0.000 1
Zr2 Zr 0.750 0.250 0.500 1
Pb1 Pb 0.265 0.625 0.140 1
Pb2 Pb 0.375 0.515 0.640 1
Pb3 Pb 0.485 0.125 0.860 1
Pb4 Pb 0.875 0.735 0.360 1
C1 C 0.250 0.750 0.500 1
C2 C 0.500 0.500 0.000 1


- What is the total energy in the sixth record?
  -5.607 eV/atom